NaCd5Pt2 (PBE, optimized geometry); magnetization = 0.0 μB per formula unit; symmetry = Immm; energy relative to the elements = -187.9 meV per atom; DOS at the Fermi energy = 0.2685 states/eV per atom; E = -2.43 eV/atom
1.0
-2.071 4.198 5.276
2.071 -4.198 5.276
2.071 4.198 -5.276
Na Cd Pt
1 5 2
Direct
0.000 0.000 0.000
0.154 0.349 0.805
0.456 0.651 0.805
0.500 0.000 0.500
0.544 0.349 0.195
0.846 0.651 0.195
0.244 0.744 0.500
0.756 0.256 0.500